# AgAs2RhO8, optimized geometry, DFT PBE
# **Formation energy without anion corrections**: -711 meV/atom
data_AgAs2RhO8
_chemical_formula_sum 'Ag1 As2 Rh1 O8'
_cell_length_a 4.9416
_cell_length_b 4.9416
_cell_length_c 7.7474
_cell_angle_alpha 90.00
_cell_angle_beta 90.00
_cell_angle_gamma 120.00
_symmetry_space_group_name_H-M 'P -3'
_symmetry_Int_Tables_number 147
loop_
_symmetry_equiv_pos_as_xyz
'x,y,z'
'-x,-y,-z'
'-y,x-y,z'
'y,-x+y,-z'
'-x+y,-x,z'
'x-y,x,-z'
loop_
_atom_site_label
_atom_site_type_symbol
_atom_site_fract_x
_atom_site_fract_y
_atom_site_fract_z
Ag1 Ag 0.0000 0.0000 0.0000
As1 As 0.3333 0.6667 0.7264
Rh1 Rh 0.0000 0.0000 0.5000
O1 O 0.0070 0.3224 0.6539
O2 O 0.3333 0.6667 0.9443

---

The following is a DFT calculation (PBE) of crystalline Er3Sn2H at its relaxed geometry.

```
data_Er3Sn2H
_chemical_formula_sum 'Er12 Sn8 H4'
_cell_length_a 10.4389
_cell_length_b 8.4403
_cell_length_c 6.4848
_cell_angle_alpha 90.00
_cell_angle_beta 90.00
_cell_angle_gamma 90.00
_symmetry_space_group_name_H-M 'C m c m'
_symmetry_Int_Tables_number 63
_symmetry_space_group_name_Hall '-C 2c 2'
loop_
_atom_site_label
_atom_site_type_symbol
_atom_site_fract_x
_atom_site_fract_y
_atom_site_fract_z
Er1 Er 0.0000 0.1509 0.2500
Er2 Er 0.1693 0.5000 0.0000
Sn1 Sn 0.1417 0.1904 0.7500
H1 H 0.0000 0.4213 0.2500
```

---

# InSi2Pt, optimized geometry, DFT PBE
# **Formation energy without anion corrections**: 233 meV/atom
data_InSi2Pt
_chemical_formula_sum 'In2 Si4 Pt2'
_cell_length_a 4.2406
_cell_length_b 4.2406
_cell_length_c 7.7390
_cell_angle_alpha 90.00
_cell_angle_beta 90.00
_cell_angle_gamma 90.00
_symmetry_space_group_name_H-M 'I 4/m m m'
_symmetry_Int_Tables_number 139
_symmetry_space_group_name_Hall '-I 4 2'
loop_
_atom_site_label
_atom_site_type_symbol
_atom_site_fract_x
_atom_site_fract_y
_atom_site_fract_z
In1 In 0.0000 0.0000 0.0000
Si1 Si 0.0000 0.5000 0.2500
Pt1 Pt 0.0000 0.0000 0.5000

---

The following is a DFT calculation (PBE) of crystalline PrAgPd6 at its relaxed geometry.

```
data_PrAgPd6
_chemical_formula_sum 'Pr1 Ag1 Pd6'
_cell_length_a 5.2374
_cell_length_b 5.2374
_cell_length_c 5.2374
_cell_angle_alpha 90.00
_cell_angle_beta 90.00
_cell_angle_gamma 90.00
_symmetry_space_group_name_H-M 'P m -3'
_symmetry_Int_Tables_number 200
_symmetry_space_group_name_Hall '-P 2 2 3'
loop_
_atom_site_label
_atom_site_type_symbol
_atom_site_fract_x
_atom_site_fract_y
_atom_site_fract_z
Pr1 Pr 0.0000 0.0000 0.0000
Ag1 Ag 0.5000 0.5000 0.5000
Pd1 Pd 0.0000 0.2557 0.5000
```

---

# Pm2Ni2Pb, optimized geometry, DFT PBE
# **Excess energy over the best structure of this formula in the dataset**: 0.13 eV per formula unit
data_Pm2Ni2Pb
_chemical_formula_sum 'Pm4 Ni4 Pb2'
_cell_length_a 7.6863
_cell_length_b 7.6863
_cell_length_c 3.7231
_cell_angle_alpha 90.00
_cell_angle_beta 90.00
_cell_angle_gamma 90.00
_symmetry_space_group_name_H-M 'P 4/m b m'
_symmetry_Int_Tables_number 127
_symmetry_space_group_name_Hall '-P 4 2ab'
loop_
_atom_site_label
_atom_site_type_symbol
_atom_site_fract_x
_atom_site_fract_y
_atom_site_fract_z
Pm1 Pm 0.1756 0.3244 0.0000
Ni1 Ni 0.1140 0.6140 0.5000
Pb1 Pb 0.0000 0.0000 0.5000

---

The following is a DFT calculation (PBE) of crystalline La8Mg2In at its relaxed geometry.

```
data_La8Mg2In
_chemical_formula_sum 'La16 Mg4 In2'
_cell_length_a 17.1576
_cell_length_b 5.6438
_cell_length_c 9.0159
_cell_angle_alpha 90.00
_cell_angle_beta 120.96
_cell_angle_gamma 90.00
_symmetry_space_group_name_H-M 'C 1 2/m 1'
_symmetry_Int_Tables_number 12
loop_
_symmetry_equiv_pos_as_xyz
'x,y,z'
'-x,-y,-z'
'-x,y,-z'
'x,-y,z'
'x+1/2,y+1/2,z'
'-x+1/2,-y+1/2,-z'
'-x+1/2,y+1/2,-z'
'x+1/2,-y+1/2,z'
loop_
_atom_site_label
_atom_site_type_symbol
_atom_site_fract_x
_atom_site_fract_y
_atom_site_fract_z
La1 La 0.0712 0.0000 0.2235
La2 La 0.0895 0.5000 0.9457
La3 La 0.1358 0.0000 0.6856
La4 La 0.1821 0.5000 0.4497
Mg1 Mg 0.2303 0.0000 0.1147
In1 In 0.0000 0.5000 0.5000
```

---

# TiMnZnFe, optimized geometry, DFT PBE
# **Excess energy over the best structure of this formula in the dataset**: 0.05 eV per formula unit
data_TiMnZnFe
_chemical_formula_sum 'Ti4 Mn4 Zn4 Fe4'
_cell_length_a 5.9240
_cell_length_b 5.9240
_cell_length_c 5.9240
_cell_angle_alpha 90.00
_cell_angle_beta 90.00
_cell_angle_gamma 90.00
_symmetry_space_group_name_H-M 'F -4 3 m'
_symmetry_Int_Tables_number 216
_symmetry_space_group_name_Hall 'F -4 2 3'
loop_
_atom_site_label
_atom_site_type_symbol
_atom_site_fract_x
_atom_site_fract_y
_atom_site_fract_z
Ti1 Ti 0.0000 0.0000 0.0000
Mn1 Mn 0.2500 0.2500 0.2500
Zn1 Zn 0.0000 0.0000 0.5000
Fe1 Fe 0.2500 0.2500 0.7500

---

# Te2Pb, optimized geometry, DFT PBE
# **Formation energy without anion corrections**: -161 meV/atom
data_Te2Pb
_chemical_formula_sum 'Te8 Pb4'
_cell_length_a 4.4306
_cell_length_b 4.4306
_cell_length_c 20.7735
_cell_angle_alpha 90.00
_cell_angle_beta 90.00
_cell_angle_gamma 90.00
_symmetry_space_group_name_H-M 'I 4/m m m'
_symmetry_Int_Tables_number 139
_symmetry_space_group_name_Hall '-I 4 2'
loop_
_atom_site_label
_atom_site_type_symbol
_atom_site_fract_x
_atom_site_fract_y
_atom_site_fract_z
Te1 Te 0.0000 0.0000 0.1924
Te2 Te 0.0000 0.5000 0.0000
Pb1 Pb 0.0000 0.0000 0.3433

---

# Ac2MgPd2O6, optimized geometry, DFT PBE
# **Formation energy without anion corrections**: -1736 meV/atom
data_Ac2MgPd2O6
_chemical_formula_sum 'Ac6 Mg3 Pd6 O18'
_cell_length_a 6.0188
_cell_length_b 6.0188
_cell_length_c 16.1115
_cell_angle_alpha 90.00
_cell_angle_beta 90.00
_cell_angle_gamma 120.00
_symmetry_space_group_name_H-M 'R -3 m'
_symmetry_Int_Tables_number 166
_symmetry_space_group_name_Hall '-R 3 2"'
loop_
_atom_site_label
_atom_site_type_symbol
_atom_site_fract_x
_atom_site_fract_y
_atom_site_fract_z
Ac1 Ac 0.0000 0.0000 0.2163
Mg1 Mg 0.0000 0.0000 0.0000
Pd1 Pd 0.0000 0.0000 0.4102
O1 O 0.0484 0.5242 0.7574

---

The following is a DFT calculation (PBE) of crystalline NaLi2In at its relaxed geometry.

```
data_NaLi2In
_chemical_formula_sum 'Na4 Li8 In4'
_cell_length_a 7.8726
_cell_length_b 7.8726
_cell_length_c 6.2199
_cell_angle_alpha 90.00
_cell_angle_beta 90.00
_cell_angle_gamma 90.00
_symmetry_space_group_name_H-M 'I -4 2 d'
_symmetry_Int_Tables_number 122
_symmetry_space_group_name_Hall 'I -4 2bw'
loop_
_atom_site_label
_atom_site_type_symbol
_atom_site_fract_x
_atom_site_fract_y
_atom_site_fract_z
Na1 Na 0.0000 0.0000 0.0000
Li1 Li 0.2367 0.2500 0.6250
In1 In 0.0000 0.0000 0.5000
```

---

# Sc2TeSe, optimized geometry, DFT PBE
# **Excess energy over the best structure of this formula in the dataset**: 0.00 eV per formula unit
# **Formation energy without anion corrections**: -1394 meV/atom
data_Sc2TeSe
_chemical_formula_sum 'Sc6 Te3 Se3'
_cell_length_a 3.9012
_cell_length_b 3.9012
_cell_length_c 20.7347
_cell_angle_alpha 90.00
_cell_angle_beta 90.00
_cell_angle_gamma 120.00
_symmetry_space_group_name_H-M 'R 3 m'
_symmetry_Int_Tables_number 160
_symmetry_space_group_name_Hall 'R 3 -2"'
loop_
_atom_site_label
_atom_site_type_symbol
_atom_site_fract_x
_atom_site_fract_y
_atom_site_fract_z
Sc1 Sc 0.0000 0.0000 0.0000
Sc2 Sc 0.0000 0.0000 0.1879
Te1 Te 0.0000 0.0000 0.4260
Se1 Se 0.0000 0.0000 0.5960

---

The following is a DFT calculation (PBE) of crystalline Sc2HgAu2 at its relaxed geometry.

```
data_Sc2HgAu2
_chemical_formula_sum 'Sc4 Hg2 Au4'
_cell_length_a 4.7791
_cell_length_b 4.7791
_cell_length_c 10.3395
_cell_angle_alpha 90.00
_cell_angle_beta 90.00
_cell_angle_gamma 90.00
_symmetry_space_group_name_H-M 'I 4/m m m'
_symmetry_Int_Tables_number 139
_symmetry_space_group_name_Hall '-I 4 2'
loop_
_atom_site_label
_atom_site_type_symbol
_atom_site_fract_x
_atom_site_fract_y
_atom_site_fract_z
Sc1 Sc 0.0000 0.5000 0.2500
Hg1 Hg 0.0000 0.0000 0.0000
Au1 Au 0.0000 0.0000 0.3740
```

---

# TiVMo2, optimized geometry, DFT PBE
# **Excess energy over the best structure of this formula in the dataset**: 0.70 eV per formula unit
data_TiVMo2
_chemical_formula_sum 'Ti4 V4 Mo8'
_cell_length_a 5.2610
_cell_length_b 8.9880
_cell_length_c 5.2758
_cell_angle_alpha 90.00
_cell_angle_beta 90.00
_cell_angle_gamma 90.00
_symmetry_space_group_name_H-M 'P n m a'
_symmetry_Int_Tables_number 62
loop_
_symmetry_equiv_pos_as_xyz
'x,y,z'
'-x,-y,-z'
'-x+1/2,-y,z+1/2'
'x+1/2,y,-z+1/2'
'x+1/2,-y+1/2,-z+1/2'
'-x+1/2,y+1/2,z+1/2'
'-x,y+1/2,-z'
'x,-y+1/2,z'
loop_
_atom_site_label
_atom_site_type_symbol
_atom_site_fract_x
_atom_site_fract_y
_atom_site_fract_z
Ti1 Ti 0.0625 0.2500 0.2409
V1 V 0.0725 0.7500 0.2506
Mo1 Mo 0.2488 0.0018 0.9663

---

# CaAsI3, optimized geometry, DFT PBE
# **Excess energy over the best structure of this formula in the dataset**: 0.00 eV per formula unit
# **Formation energy without anion corrections**: -303 meV/atom
data_CaAsI3
_chemical_formula_sum 'Ca1 As1 I3'
_cell_length_a 5.7747
_cell_length_b 5.7747
_cell_length_c 5.7747
_cell_angle_alpha 90.00
_cell_angle_beta 90.00
_cell_angle_gamma 90.00
_symmetry_space_group_name_H-M 'P m -3 m'
_symmetry_Int_Tables_number 221
_symmetry_space_group_name_Hall '-P 4 2 3'
loop_
_atom_site_label
_atom_site_type_symbol
_atom_site_fract_x
_atom_site_fract_y
_atom_site_fract_z
Ca1 Ca 0.0000 0.0000 0.0000
As1 As 0.5000 0.5000 0.5000
I1 I 0.0000 0.5000 0.5000

---

# PaSi2H, optimized geometry, DFT PBE
# **Excess energy over the best structure of this formula in the dataset**: 0.00 eV per formula unit
data_PaSi2H
_chemical_formula_sum 'Pa2 Si4 H2'
_cell_length_a 3.6752
_cell_length_b 8.6495
_cell_length_c 4.1343
_cell_angle_alpha 90.00
_cell_angle_beta 116.19
_cell_angle_gamma 90.00
_symmetry_space_group_name_H-M 'P 1 21/m 1'
_symmetry_Int_Tables_number 11
loop_
_symmetry_equiv_pos_as_xyz
'x,y,z'
'-x,-y,-z'
'-x,y+1/2,-z'
'x,-y+1/2,z'
loop_
_atom_site_label
_atom_site_type_symbol
_atom_site_fract_x
_atom_site_fract_y
_atom_site_fract_z
Pa1 Pa 0.0443 0.2500 0.0884
Si1 Si 0.3459 0.0242 0.6937
H1 H 0.2753 0.7500 0.5498

---

# Y2Tl3AgTe6, optimized geometry, DFT PBE
# **Formation energy without anion corrections**: -687 meV/atom
data_Y2Tl3AgTe6
_chemical_formula_sum 'Y4 Tl6 Ag2 Te12'
_cell_length_a 7.6704
_cell_length_b 13.3311
_cell_length_c 8.1786
_cell_angle_alpha 90.00
_cell_angle_beta 108.14
_cell_angle_gamma 90.00
_symmetry_space_group_name_H-M 'C 1 2/m 1'
_symmetry_Int_Tables_number 12
loop_
_symmetry_equiv_pos_as_xyz
'x,y,z'
'-x,-y,-z'
'-x,y,-z'
'x,-y,z'
'x+1/2,y+1/2,z'
'-x+1/2,-y+1/2,-z'
'-x+1/2,y+1/2,-z'
'x+1/2,-y+1/2,z'
loop_
_atom_site_label
_atom_site_type_symbol
_atom_site_fract_x
_atom_site_fract_y
_atom_site_fract_z
Y1 Y 0.0000 0.1637 0.0000
Tl1 Tl 0.0000 0.0000 0.5000
Tl2 Tl 0.0000 0.3202 0.5000
Ag1 Ag 0.0000 0.5000 0.0000
Te1 Te 0.2321 0.3363 0.2143
Te2 Te 0.2443 0.0000 0.2280

---

# Mg3WBr, optimized geometry, DFT PBE
# **Excess energy over the best structure of this formula in the dataset**: 0.00 eV per formula unit
# **Formation energy without anion corrections**: 1033 meV/atom
data_Mg3WBr
_chemical_formula_sum 'Mg3 W1 Br1'
_cell_length_a 5.4956
_cell_length_b 5.4956
_cell_length_c 5.4956
_cell_angle_alpha 90.00
_cell_angle_beta 90.00
_cell_angle_gamma 90.00
_symmetry_space_group_name_H-M 'P m -3 m'
_symmetry_Int_Tables_number 221
_symmetry_space_group_name_Hall '-P 4 2 3'
loop_
_atom_site_label
_atom_site_type_symbol
_atom_site_fract_x
_atom_site_fract_y
_atom_site_fract_z
Mg1 Mg 0.0000 0.0000 0.5000
W1 W 0.0000 0.0000 0.0000
Br1 Br 0.5000 0.5000 0.5000

---

The following is a DFT calculation (PBE) of crystalline Zn4PdPb at its relaxed geometry.

```
data_Zn4PdPb
_chemical_formula_sum 'Zn16 Pd4 Pb4'
_cell_length_a 7.4323
_cell_length_b 7.4323
_cell_length_c 7.4323
_cell_angle_alpha 90.00
_cell_angle_beta 90.00
_cell_angle_gamma 90.00
_symmetry_space_group_name_H-M 'F -4 3 m'
_symmetry_Int_Tables_number 216
_symmetry_space_group_name_Hall 'F -4 2 3'
loop_
_atom_site_label
_atom_site_type_symbol
_atom_site_fract_x
_atom_site_fract_y
_atom_site_fract_z
Zn1 Zn 0.1235 0.1235 0.1235
Pd1 Pd 0.2500 0.2500 0.7500
Pb1 Pb 0.0000 0.0000 0.5000
```

---

The following is a DFT calculation (PBE) of crystalline Ba2VInPd at its relaxed geometry.

```
data_Ba2VInPd
_chemical_formula_sum 'Ba2 V1 In1 Pd1'
_cell_length_a 6.4714
_cell_length_b 6.4714
_cell_length_c 5.1559
_cell_angle_alpha 90.00
_cell_angle_beta 90.00
_cell_angle_gamma 90.00
_symmetry_space_group_name_H-M 'P 4/m m m'
_symmetry_Int_Tables_number 123
_symmetry_space_group_name_Hall '-P 4 2'
loop_
_atom_site_label
_atom_site_type_symbol
_atom_site_fract_x
_atom_site_fract_y
_atom_site_fract_z
Ba1 Ba 0.0000 0.5000 0.0000
V1 V 0.0000 0.0000 0.5000
In1 In 0.0000 0.0000 0.0000
Pd1 Pd 0.5000 0.5000 0.5000
```

---

# ScP2S, optimized geometry, DFT PBE
# **Formation energy without anion corrections**: 38 meV/atom
data_ScP2S
_chemical_formula_sum 'Sc4 P8 S4'
_cell_length_a 5.3693
_cell_length_b 5.3693
_cell_length_c 12.9062
_cell_angle_alpha 90.00
_cell_angle_beta 90.00
_cell_angle_gamma 90.00
_symmetry_space_group_name_H-M 'I -4 2 d'
_symmetry_Int_Tables_number 122
_symmetry_space_group_name_Hall 'I -4 2bw'
loop_
_atom_site_label
_atom_site_type_symbol
_atom_site_fract_x
_atom_site_fract_y
_atom_site_fract_z
Sc1 Sc 0.0000 0.0000 0.0000
P1 P 0.2125 0.2500 0.6250
S1 S 0.0000 0.0000 0.5000

---

Number 1: raw total energy -5.6419 eV/atom, DOS(E_F) 8.132 states/eV/cell, M_tot 1.96 μB per formula unit. Number 2: raw total energy -4.6399 eV/atom, DOS(E_F) 17.489 states/eV/cell, M_tot 0.00 μB per formula unit. Number 3: raw total energy -4.6734 eV/atom, DOS(E_F) 3.364 states/eV/cell, M_tot 0.00 μB per formula unit. Number 4: raw total energy -5.0411 eV/atom, DOS(E_F) 6.058 states/eV/cell, M_tot 0.00 μB per formula unit. Number 5: raw total energy -5.3886 eV/atom, DOS(E_F) 6.242 states/eV/cell, M_tot 0.00 μB per formula unit. Number 6: raw total energy -4.2432 eV/atom, DOS(E_F) 24.559 states/eV/cell, M_tot 0.00 μB per formula unit. Number 7: raw total energy -6.8078 eV/atom, DOS(E_F) 4.551 states/eV/cell, M_tot 2.96 μB per formula unit. Number 8: raw total energy -3.4916 eV/atom, DOS(E_F) 10.360 states/eV/cell, M_tot 0.00 μB per formula unit. Number 9: raw total energy -6.2765 eV/atom, DOS(E_F) 20.468 states/eV/cell, M_tot 0.07 μB per formula unit. Number 10: raw total energy -1.9598 eV/atom, DOS(E_F) 3.693 states/eV/cell, M_tot 0.00 μB per formula unit. Number 11: raw total energy -6.2162 eV/atom, DOS(E_F) 1.462 states/eV/cell, M_tot 0.00 μB per formula unit. Number 12: raw total energy -4.3002 eV/atom, DOS(E_F) 6.454 states/eV/cell, M_tot 0.00 μB per formula unit. Number 13: raw total energy -9.5832 eV/atom, DOS(E_F) 18.216 states/eV/cell, M_tot 0.00 μB per formula unit. Number 14: raw total energy -2.5635 eV/atom, DOS(E_F) 2.269 states/eV/cell, M_tot 0.00 μB per formula unit. Number 15: raw total energy -6.2375 eV/atom, DOS(E_F) 5.476 states/eV/cell, M_tot 0.00 μB per formula unit. Number 16: raw total energy -4.1646 eV/atom, DOS(E_F) 14.219 states/eV/cell, M_tot 0.00 μB per formula unit. Number 17: raw total energy -2.8487 eV/atom, DOS(E_F) 3.357 states/eV/cell, M_tot 3.98 μB per formula unit. Number 18: raw total energy -2.3876 eV/atom, DOS(E_F) 6.408 states/eV/cell, M_tot 0.00 μB per formula unit. Number 19: raw total energy -3.5239 eV/atom, DOS(E_F) 6.349 states/eV/cell, M_tot 3.41 μB per formula unit. Number 20: raw total energy -5.2816 eV/atom, DOS(E_F) 7.982 states/eV/cell, M_tot 0.00 μB per formula unit.